# PBE SiPb2Se, relaxed
# E_form (uncorrected): 0.14 eV/atom
# Energy relative to the lowest polymorph listed for this composition: 0.35 eV/f.u.
# Total magnetic moment: 0.0 μB per formula unit
# E_tot: -15.8 eV per formula unit
data_SiPb2Se
_chemical_formula_sum 'Si1 Pb2 Se1'
_space_group_name_H-M_alt 'P 1'
_space_group_IT_number 1
_space_group_name_Hall 'P 1'
_cell_length_a 3.388
_cell_length_b 3.388
_cell_length_c 9.241
_cell_angle_alpha 90.00
_cell_angle_beta 90.00
_cell_angle_gamma 89.90
loop_
_atom_site_label
_atom_site_type_symbol
_atom_site_fract_x
_atom_site_fract_y
_atom_site_fract_z
Pb1 Pb 0.000 0.000 0.967
Pb2 Pb 0.500 0.500 0.256
Se1 Se 0.000 0.000 0.582
Si1 Si 0.500 0.500 0.695